No. 1
A geometry-optimized MgPd4Au12 structure, computed with PBE.

The energy of formation from the pure elements comes out at 0.37 eV per atom.

a = 7.860 Å, b = 7.862 Å, c = 7.862 Å
α = 109.48°, β = 109.46°, γ = 109.47°
Positions (direct):
Mg1 0.000 0.000 0.000
Pd1 0.000 0.500 0.000
Pd2 0.000 0.000 0.500
Pd3 0.500 0.000 0.000
Pd4 0.500 0.500 0.500
Au1 0.801 0.150 0.650
Au2 0.850 0.350 0.199
Au3 0.350 0.500 0.150
Au4 0.150 0.350 0.500
Au5 0.650 0.500 0.850
Au6 0.150 0.650 0.801
Au7 0.650 0.801 0.150
Au8 0.350 0.199 0.850
Au9 0.850 0.650 0.500
Au10 0.500 0.150 0.350
Au11 0.500 0.850 0.650
Au12 0.199 0.850 0.350



No. 2
A geometry-optimized TeIrN2F structure, computed with PBE.

The energy relative to the lowest polymorph listed for this composition comes out at 0.000 eV per formula unit. The calculation puts the uncorrected formation energy at 45.0 kJ/mol of atoms.

a = 3.741 Å, b = 3.741 Å, c = 5.841 Å
α = 90.00°, β = 90.00°, γ = 90.00°
Positions (direct):
N1 0.000 0.500 0.000
N2 0.500 0.000 0.000
Ir1 0.000 0.000 0.000
Te1 0.000 0.000 0.500
F1 0.500 0.500 0.500



No. 3
A geometry-optimized PrGa3Pt2 structure, computed with PBE.

The energy of formation from the pure elements comes out at -0.84 eV per atom.

a = 4.226 Å, b = 8.653 Å, c = 10.100 Å
α = 105.52°, β = 90.00°, γ = 104.13°
Positions (direct):
Pr1 0.155 0.310 0.704
Pr2 0.845 0.690 0.296
Pr3 0.000 0.000 0.000
Ga1 0.044 0.089 0.361
Ga2 0.956 0.911 0.639
Ga3 0.218 0.435 0.381
Ga4 0.782 0.565 0.619
Ga5 0.633 0.265 0.191
Ga6 0.367 0.735 0.809
Ga7 0.500 0.000 0.500
Ga8 0.340 0.681 0.052
Ga9 0.660 0.319 0.948
Pt1 0.202 0.404 0.113
Pt2 0.798 0.596 0.887
Pt3 0.482 0.965 0.225
Pt4 0.518 0.035 0.775
Pt5 0.358 0.715 0.553
Pt6 0.642 0.285 0.447



Which magnetic moment belongs to each record? In order, 0.0; 0.3; 0.0 Bohr magnetons per cell.
Which calculated total energy belongs to each record? In order, -3.26; -5.64; -5.17 eV/atom.